12
Lattice="-5.4430 -1.4251 1.9511 2.6178 -2.5865 4.6820 1.0738 8.3802 0.3943" Properties=species:S:1:pos:R:3 comment="LiTh2Ge3 (PBE-GGA, optimized geometry)" spacegroup=Fmmm pbc="T T T"
Ge -2.1856 5.5572 2.4300
Ge -1.6350 2.1779 5.7521
Ge -0.1164 2.1906 1.2753
Ge -3.3755 -0.6398 3.3067
Ge 1.6241 5.0083 3.7207
Ge 0.4342 -1.1887 4.5974
Th -0.6838 -0.9709 1.6054
Th -2.1415 -3.0407 5.0277
Th 1.1395 1.8939 4.1964
Th -2.8909 2.4746 2.8310
Li -0.2260 4.2524 2.4755
Li -1.5254 0.1162 4.5519

4
Lattice="3.4704 0.0000 0.0000 0.0000 3.4704 0.0000 0.0000 0.0000 6.7358" Properties=species:S:1:pos:R:3 comment="LiThGe2 (PBE-GGA, optimized geometry)" spacegroup=P4/mmm e_above_lowest_polymorph_mev_per_atom=196.9 pbc="T T T"
Li 1.7352 1.7352 0.0000
Ge 0.0000 0.0000 5.4044
Ge 0.0000 0.0000 1.3314
Th 1.7352 1.7352 3.3679

13
Lattice="4.0808 0.0000 0.0000 0.0000 4.2031 0.0000 0.0000 0.0000 16.9936" Properties=species:S:1:pos:R:3 comment="LiTh4Ge8 (PBE-GGA, optimized geometry)" spacegroup=Pmm2 pbc="T T T"
Ge 2.0404 0.0000 9.4185
Ge 2.0404 0.0000 4.0797
Ge 0.0000 0.0000 7.8267
Ge 0.0000 2.1015 4.0981
Ge 0.0000 2.1015 16.0932
Ge 0.0000 0.0000 12.7346
Ge 2.0404 2.1015 12.7503
Ge 2.0404 2.1015 0.7534
Th 0.0000 0.0000 1.7352
Th 2.0404 0.0000 15.1301
Th 2.0404 2.1015 6.7229
Th 0.0000 2.1015 10.3563
Li 0.0000 0.0000 5.4116

4
Lattice="-0.3274 -1.3168 -4.1223 -0.3363 -4.2309 -0.9063 -5.3202 -1.5072 -1.3806" Properties=species:S:1:pos:R:3 comment="LiThGe2 (PBE-GGA, optimized geometry)" spacegroup=R-3m e_above_lowest_polymorph_mev_per_atom=136.1 pbc="T T T"
Ge -4.0197 -5.3226 -4.8340
Ge -1.9642 -1.7323 -1.5751
Li -2.9919 -3.5275 -3.2046
Th 0.0000 0.0000 0.0000

16
Lattice="-0.2890 1.0108 4.1739 5.4824 -2.3255 -1.2766 5.0585 13.5320 -2.9267" Properties=species:S:1:pos:R:3 comment="Li2Th3Ge3 (PBE-GGA, optimized geometry)" spacegroup=Cmcm pbc="T T T"
Th 3.9216 8.0109 -1.6684
Th 4.9414 0.4908 2.4426
Th 2.5161 3.4124 1.5672
Th 6.3303 4.2063 1.6390
Th 5.3105 11.7264 -2.4720
Th 7.7358 8.8048 -1.5966
Ge 8.9968 11.5223 -2.1674
Ge 5.3879 10.0616 0.1558
Ge 3.3422 6.2781 0.9304
Ge 6.9097 5.9391 -0.9598
Ge 4.8640 2.1556 -0.1852
Ge 1.2551 0.6949 2.1380
Li 5.8011 7.3919 0.8309
Li 4.4509 4.8253 -0.8603
Li 7.4779 11.8777 -0.1392
Li 2.7740 0.3395 0.1098

4
Lattice="4.2195 0.0000 0.0000 0.0000 4.5139 0.0000 0.0000 0.0000 4.5139" Properties=species:S:1:pos:R:3 comment="LiThGe2 (PBE-GGA, optimized geometry)" spacegroup=P4/mmm e_above_lowest_polymorph_mev_per_atom=127.8 pbc="T T T"
Li 2.1098 0.0000 0.0000
Th 2.1098 2.2570 2.2570
Ge 0.0000 2.2570 0.0000
Ge 0.0000 0.0000 2.2570

Which N(E_F) belongs to each record? In order, 7.4, 2.0, 5.6, 2.5, 9.7, 2.3 states/eV per cell.
Which energy relative to the elements belongs to each record? In order, -589, -387, -594, -448, -594, -456 meV per atom.
Which total magnetic moment belongs to each record? In order, 0.000, 0.000, 0.000, 0.000, 0.000, 0.000 μB per formula unit.